# 1
This record from Alexandria via LeMat-Bulk describes a geometry-optimized LiCaFe structure. The functional is PBE.

Lattice parameters (Å, degrees): 4.7141 4.7141 3.3024 90.00 90.00 120.00
Positions (direct):
Ca1 0.0000 0.0000 0.0001
Fe1 0.6667 0.3333 0.5006
Li1 0.3333 0.6667 0.4992

## Properties
SG   P-6m2, No. 187
Energy above the lowest structure with this stoichiometry   27.2 kJ per mole of atoms

# 2
This record from Alexandria via LeMat-Bulk describes a geometry-optimized Be2AlHg structure. The functional is PBE.

Lattice parameters (Å, degrees): 3.1958 3.6887 4.9496 90.00 90.00 90.00
Positions (direct):
Be1 0.0000 0.0000 0.9986
Be2 0.5000 0.5000 0.2472
Hg1 0.0000 0.0000 0.4791
Al1 0.5000 0.5000 0.7751

## Properties
SG   Pmm2, No. 25

# 3
This record from Alexandria via LeMat-Bulk describes a geometry-optimized TiZnIn3 structure. The functional is PBE.

Lattice parameters (Å, degrees): 5.4442 5.4442 5.4442 90.00 90.00 90.00
Positions (direct):
Zn1 0.5000 0.5000 0.5000
Ti1 0.0000 0.0000 0.0000
In1 0.0000 0.5000 0.0000
In2 0.0000 0.0000 0.5000
In3 0.5000 0.0000 0.0000

## Properties
SG   Pm-3m, No. 221
Energy above the lowest structure with this stoichiometry   0.0 kJ per mole of atoms

# 4
This record from Alexandria via LeMat-Bulk describes a geometry-optimized ScBeC2N structure. The functional is PBE.

Lattice parameters (Å, degrees): 3.3882 3.3882 4.0617 90.00 90.00 90.00
Positions (direct):
Sc1 0.5000 0.5000 0.5000
Be1 0.0000 0.0000 0.0000
C1 0.0000 0.5000 0.0000
C2 0.5000 0.0000 0.0000
N1 0.0000 0.0000 0.5000

## Properties
SG   P4/mmm, No. 123

# 5
This record from Alexandria via LeMat-Bulk describes a geometry-optimized IrIBr2 structure. The functional is PBE.

Lattice parameters (Å, degrees): 7.4179 7.4179 7.1356 58.68 58.68 90.00
Positions (direct):
I1 0.5000 0.5000 0.0000
I2 0.2500 0.7500 0.5000
Ir1 0.0000 0.0000 0.0000
Ir2 0.7500 0.2500 0.5000
Br1 0.7432 0.1250 0.2500
Br2 0.0068 0.6250 0.2500
Br3 0.3750 0.2568 0.7500
Br4 0.8750 0.9932 0.7500

## Properties
SG   I-42d, No. 122
Energy above the lowest structure with this stoichiometry   71.2 kJ per mole of atoms

# 6
This record from Alexandria via LeMat-Bulk describes a geometry-optimized CaTcO4 structure. The functional is PBE.

Lattice parameters (Å, degrees): 5.2732 5.2732 6.9293 112.36 112.36 90.00
Positions (direct):
Ca1 0.0000 0.0000 0.0000
Ca2 0.7500 0.2500 0.5000
Tc1 0.5000 0.5000 0.0000
Tc2 0.2500 0.7500 0.5000
O1 0.0201 0.9204 0.3408
O2 0.1704 0.2701 0.8408
O3 0.6704 0.5707 0.8408
O4 0.3207 0.4204 0.3408
O5 0.4293 0.8296 0.1592
O6 0.0796 0.6793 0.6592
O7 0.5796 0.9799 0.6592
O8 0.7299 0.3296 0.1592

## Properties
SG   I4_1/a, No. 88

What are the VASP energy values for these records? In order: -10.8; -9.8; -14.4; -31.8; -23.3; -88.6 eV for the cell shown.